[1]
4
Lattice="5.240 0.000 0.000 0.000 5.240 0.000 0.000 0.000 3.000" Properties=species:S:1:pos:R:3 comment="InAs2Au, relaxed, DFT PBE" dft_energy_ev_per_atom=-3.58 crystal_system=tetragonal e_form_ev_per_atom=0.248 magnetic_moment_mub_per_cell=0.00 pbc="T T T"
In 0.000 0.000 0.000
As 0.000 2.620 1.500
As 2.620 0.000 1.500
Au 2.620 2.620 0.000

***

[2]
4
Lattice="-1.822 2.012 6.107 1.822 -2.012 6.107 1.822 2.012 -6.107" Properties=species:S:1:pos:R:3 comment="InAs2Au, relaxed, DFT PBE" dft_energy_ev_per_atom=-3.72 crystal_system=orthorhombic e_form_ev_per_atom=0.111 magnetic_moment_mub_per_cell=0.00 pbc="T T T"
In 0.000 0.000 0.000
As 1.822 0.000 2.925
As 0.000 0.000 4.788
Au 0.000 2.012 2.076

***

[3]
4
Lattice="-2.276 2.276 3.985 2.276 -2.276 3.985 2.276 2.276 -3.985" Properties=species:S:1:pos:R:3 comment="InAs2Au, relaxed, DFT PBE" dft_energy_ev_per_atom=-3.58 crystal_system=tetragonal e_form_ev_per_atom=0.249 magnetic_moment_mub_per_cell=0.00 pbc="T T T"
In 0.000 0.000 0.000
As 2.276 0.000 1.992
As 0.000 0.000 3.985
Au 0.000 2.276 1.992

***

[4]
6
Lattice="0.000 4.277 4.277 4.277 0.000 4.277 4.277 4.277 0.000" Properties=species:S:1:pos:R:3 comment="In4AsAu, relaxed, DFT PBE" dft_energy_ev_per_atom=-2.79 crystal_system=cubic e_form_ev_per_atom=0.361 magnetic_moment_mub_per_cell=0.00 pbc="T T T"
In 1.069 1.069 1.069
In 3.207 3.207 1.069
In 3.207 1.069 3.207
In 1.069 3.207 3.207
As 6.415 6.415 6.415
Au 4.277 4.277 4.277

***

[5]
10
Lattice="7.307 0.000 0.000 0.000 7.307 0.000 0.000 0.000 4.162" Properties=species:S:1:pos:R:3 comment="In2AsAu2, relaxed, DFT PBE" dft_energy_ev_per_atom=-3.33 crystal_system=tetragonal e_form_ev_per_atom=0.005 magnetic_moment_mub_per_cell=0.00 relative_energy_ev_per_atom=0.000 pbc="T T T"
In 1.234 2.419 0.000
In 2.419 6.073 0.000
In 4.888 1.234 0.000
In 6.073 4.888 0.000
As 0.000 0.000 2.081
As 3.653 3.653 2.081
Au 1.011 4.664 2.081
Au 2.643 1.011 2.081
Au 4.664 6.296 2.081
Au 6.296 2.643 2.081

***

[6]
5
Lattice="-1.923 1.923 7.663 1.923 -1.923 7.663 1.923 1.923 -7.663" Properties=species:S:1:pos:R:3 comment="In2AsAu2, relaxed, DFT PBE" dft_energy_ev_per_atom=-3.31 crystal_system=tetragonal e_form_ev_per_atom=0.022 magnetic_moment_mub_per_cell=0.00 relative_energy_ev_per_atom=0.017 pbc="T T T"
In 0.000 0.000 1.514
In 0.000 0.000 13.812
As 0.000 0.000 7.663
Au 1.923 0.000 3.832
Au 0.000 1.923 3.832

***

[7]
4
Lattice="3.903 -1.889 0.000 3.903 1.889 0.000 -2.257 0.000 6.205" Properties=species:S:1:pos:R:3 comment="InAs2Au, relaxed, DFT PBE" dft_energy_ev_per_atom=-3.85 crystal_system=monoclinic e_form_ev_per_atom=-0.025 magnetic_moment_mub_per_cell=0.00 pbc="T T T"
In 0.000 0.000 0.000
As 2.224 0.000 3.308
As 5.638 0.000 1.651
Au 0.049 0.000 4.658

***

[8]
4
Lattice="4.695 0.000 0.000 0.000 4.010 0.000 -1.371 0.000 4.923" Properties=species:S:1:pos:R:3 comment="InAs2Au, relaxed, DFT PBE" dft_energy_ev_per_atom=-3.89 crystal_system=monoclinic e_form_ev_per_atom=-0.060 magnetic_moment_mub_per_cell=0.00 pbc="T T T"
In 0.000 0.000 0.000
As 0.196 2.005 3.331
As 3.128 2.005 1.592
Au 1.662 0.000 2.461

***

[9]
5
Lattice="5.136 0.000 0.000 0.000 5.136 0.000 0.000 0.000 5.136" Properties=species:S:1:pos:R:3 comment="InAsAu3, relaxed, DFT PBE" dft_energy_ev_per_atom=-2.60 crystal_system=cubic e_form_ev_per_atom=0.844 magnetic_moment_mub_per_cell=0.00 relative_energy_ev_per_atom=0.659 pbc="T T T"
In 0.000 0.000 0.000
As 2.568 2.568 2.568
Au 0.000 0.000 2.568
Au 0.000 2.568 0.000
Au 2.568 0.000 0.000

***

[10]
80
Lattice="-8.309 8.309 8.309 8.309 -8.309 8.309 8.309 8.309 -8.309" Properties=species:S:1:pos:R:3 comment="In12As3Au5, relaxed, DFT PBE" dft_energy_ev_per_atom=-3.18 crystal_system=cubic e_form_ev_per_atom=-0.015 magnetic_moment_mub_per_cell=0.00 pbc="T T T"
In 2.497 -0.334 1.231
In 9.966 5.385 -4.488
In 7.975 -1.231 2.497
In 12.797 -1.658 2.923
In 10.805 0.334 1.231
In 9.966 -2.923 4.488
In 1.231 2.497 -0.334
In 11.232 3.820 -1.658
In 5.385 4.488 -1.658
In 7.078 2.497 0.334
In -0.334 1.231 2.497
In 4.488 -1.658 5.385
In 7.975 7.078 -2.497
In 4.488 1.658 2.923
In 7.078 -2.497 7.975
In 5.385 -4.488 9.966
In 2.923 4.488 1.658
In 9.540 5.812 0.334
In 2.497 7.975 -1.231
In 9.966 2.923 3.820
In 4.488 9.966 -2.923
In 7.975 1.231 5.812
In 1.658 2.923 4.488
In 2.497 0.334 7.078
In 5.812 7.975 1.231
In 6.651 5.385 3.820
In 0.334 7.078 2.497
In 3.820 -1.658 11.232
In -1.658 5.385 4.488
In 5.812 0.334 9.540
In -1.231 2.497 7.975
In 5.385 3.820 6.651
In 2.923 12.797 -1.658
In 1.231 10.805 0.334
In 3.820 6.651 5.385
In 0.334 1.231 10.805
In 3.820 9.966 2.923
In 8.643 7.078 5.812
In 1.231 5.812 7.975
In 2.923 3.820 9.966
In -2.923 4.488 9.966
In 7.078 5.812 8.643
In -1.658 11.232 3.820
In -2.497 7.975 7.078
In -4.488 9.966 5.385
In 0.334 9.540 5.812
In -1.658 2.923 12.797
In 5.812 8.643 7.078
As 4.154 2.077 0.000
As 8.309 4.154 -2.077
As 2.077 0.000 4.154
As 10.386 0.000 4.154
As 0.000 4.154 2.077
As 4.154 -2.077 8.309
As 4.154 10.386 0.000
As 8.309 4.154 6.231
As -2.077 8.309 4.154
As 6.231 8.309 4.154
As 0.000 4.154 10.386
As 4.154 6.231 8.309
Au 0.000 0.000 0.000
Au 4.154 4.154 -4.154
Au 4.154 -4.154 4.154
Au 8.309 0.000 0.000
Au 12.463 2.077 0.000
Au 8.309 -4.154 6.231
Au 6.231 8.309 -4.154
Au 6.231 0.000 4.154
Au 4.154 6.231 0.000
Au 8.309 4.154 2.077
Au -4.154 4.154 4.154
Au 0.000 8.309 0.000
Au 0.000 0.000 8.309
Au 4.154 4.154 4.154
Au 0.000 4.154 6.231
Au 4.154 2.077 8.309
Au 2.077 8.309 4.154
Au 2.077 0.000 12.463
Au 0.000 12.463 2.077
Au -4.154 6.231 8.309

***

[11]
4
Lattice="2.927 -4.895 0.000 2.927 4.895 0.000 0.000 0.000 2.916" Properties=species:S:1:pos:R:3 comment="InAs2Au, relaxed, DFT PBE" dft_energy_ev_per_atom=-3.56 crystal_system=orthorhombic e_form_ev_per_atom=0.270 magnetic_moment_mub_per_cell=0.00 pbc="T T T"
In 0.000 0.000 0.000
As 1.464 2.447 1.458
As 1.464 -2.447 1.458
Au 2.927 0.000 0.000

***

[12]
16
Lattice="9.501 0.000 0.000 0.000 3.008 5.155 0.000 -3.008 5.155" Properties=species:S:1:pos:R:3 comment="InAsAu14, relaxed, DFT PBE" dft_energy_ev_per_atom=-3.31 crystal_system=orthorhombic e_form_ev_per_atom=0.022 magnetic_moment_mub_per_cell=0.00 pbc="T T T"
In 0.000 0.000 0.000
As 0.000 0.000 5.138
Au 0.000 -1.503 7.723
Au 0.000 1.503 7.723
Au 2.372 0.000 8.561
Au 2.384 0.000 3.413
Au 2.390 -1.501 5.984
Au 2.390 1.501 5.984
Au 4.751 -1.506 4.240
Au 4.751 0.000 1.671
Au 4.751 0.000 6.816
Au 4.751 1.506 4.240
Au 7.111 -1.501 5.984
Au 7.111 1.501 5.984
Au 7.118 0.000 3.413
Au 7.129 0.000 8.561

***

What did the tenth record say?
80
Lattice="-8.309 8.309 8.309 8.309 -8.309 8.309 8.309 8.309 -8.309" Properties=species:S:1:pos:R:3 comment="In12As3Au5, relaxed, DFT PBE" dft_energy_ev_per_atom=-3.18 crystal_system=cubic e_form_ev_per_atom=-0.015 magnetic_moment_mub_per_cell=0.00 pbc="T T T"
In 2.497 -0.334 1.231
In 9.966 5.385 -4.488
In 7.975 -1.231 2.497
In 12.797 -1.658 2.923
In 10.805 0.334 1.231
In 9.966 -2.923 4.488
In 1.231 2.497 -0.334
In 11.232 3.820 -1.658
In 5.385 4.488 -1.658
In 7.078 2.497 0.334
In -0.334 1.231 2.497
In 4.488 -1.658 5.385
In 7.975 7.078 -2.497
In 4.488 1.658 2.923
In 7.078 -2.497 7.975
In 5.385 -4.488 9.966
In 2.923 4.488 1.658
In 9.540 5.812 0.334
In 2.497 7.975 -1.231
In 9.966 2.923 3.820
In 4.488 9.966 -2.923
In 7.975 1.231 5.812
In 1.658 2.923 4.488
In 2.497 0.334 7.078
In 5.812 7.975 1.231
In 6.651 5.385 3.820
In 0.334 7.078 2.497
In 3.820 -1.658 11.232
In -1.658 5.385 4.488
In 5.812 0.334 9.540
In -1.231 2.497 7.975
In 5.385 3.820 6.651
In 2.923 12.797 -1.658
In 1.231 10.805 0.334
In 3.820 6.651 5.385
In 0.334 1.231 10.805
In 3.820 9.966 2.923
In 8.643 7.078 5.812
In 1.231 5.812 7.975
In 2.923 3.820 9.966
In -2.923 4.488 9.966
In 7.078 5.812 8.643
In -1.658 11.232 3.820
In -2.497 7.975 7.078
In -4.488 9.966 5.385
In 0.334 9.540 5.812
In -1.658 2.923 12.797
In 5.812 8.643 7.078
As 4.154 2.077 0.000
As 8.309 4.154 -2.077
As 2.077 0.000 4.154
As 10.386 0.000 4.154
As 0.000 4.154 2.077
As 4.154 -2.077 8.309
As 4.154 10.386 0.000
As 8.309 4.154 6.231
As -2.077 8.309 4.154
As 6.231 8.309 4.154
As 0.000 4.154 10.386
As 4.154 6.231 8.309
Au 0.000 0.000 0.000
Au 4.154 4.154 -4.154
Au 4.154 -4.154 4.154
Au 8.309 0.000 0.000
Au 12.463 2.077 0.000
Au 8.309 -4.154 6.231
Au 6.231 8.309 -4.154
Au 6.231 0.000 4.154
Au 4.154 6.231 0.000
Au 8.309 4.154 2.077
Au -4.154 4.154 4.154
Au 0.000 8.309 0.000
Au 0.000 0.000 8.309
Au 4.154 4.154 4.154
Au 0.000 4.154 6.231
Au 4.154 2.077 8.309
Au 2.077 8.309 4.154
Au 2.077 0.000 12.463
Au 0.000 12.463 2.077
Au -4.154 6.231 8.309